1.
The following is a PBEsol calculation of a relaxed KSn2Pt2 crystal, from Alexandria.

abc: 4.694 4.694 6.220
angles: 112.17 112.17 90.00
Fractional positions:
K: 0.000 0.000 0.000
Sn: 0.250 0.750 0.500
Sn: 0.750 0.250 0.500
Pt: 0.373 0.373 0.746
Pt: 0.627 0.627 0.254

Output
- total DFT energy (no corrections) (eV/atom) = -5.10
- crystal system = tetragonal
- DOS(E_F) (states/eV/cell) = 2.1
- formation enthalpy at 0 K (eV/atom) = -0.3813

***

2.
The following is a PBEsol calculation of a relaxed K2SnPt2 crystal, from Alexandria.

abc: 5.433 6.772 6.772
angles: 90.00 90.00 90.00
Fractional positions:
K: 0.500 0.171 0.671
K: 0.500 0.671 0.829
K: 0.500 0.829 0.329
K: 0.500 0.329 0.171
Sn: 0.000 0.000 0.000
Sn: 0.000 0.500 0.500
Pt: 0.000 0.365 0.865
Pt: 0.000 0.865 0.635
Pt: 0.000 0.635 0.135
Pt: 0.000 0.135 0.365

Output
- total DFT energy (no corrections) (eV/atom) = -4.24
- crystal system = tetragonal
- DOS(E_F) (states/eV/cell) = 6.7
- formation enthalpy at 0 K (eV/atom) = -0.1474

***

3.
The following is a PBEsol calculation of a relaxed KSr2Pt crystal, from Alexandria.

abc: 4.367 4.373 11.020
angles: 101.35 90.00 119.96
Fractional positions:
Sr: 0.715 0.430 0.645
Sr: 0.285 0.570 0.355
K: 0.500 0.000 0.000
Pt: 0.000 0.000 0.500

Output
- total DFT energy (no corrections) (eV/atom) = -3.34
- crystal system = monoclinic
- DOS(E_F) (states/eV/cell) = 2.5
- formation enthalpy at 0 K (eV/atom) = -0.3908

***

4.
The following is a PBEsol calculation of a relaxed KSrPt2 crystal, from Alexandria.

abc: 2.964 5.480 5.968
angles: 104.04 104.38 90.00
Fractional positions:
K: 0.276 0.814 0.551
Pt: 0.040 0.975 0.080
Pt: 0.715 0.280 0.431
Sr: 0.469 0.431 0.938

Output
- total DFT energy (no corrections) (eV/atom) = -4.34
- crystal system = monoclinic
- DOS(E_F) (states/eV/cell) = 2.1
- formation enthalpy at 0 K (eV/atom) = -0.1134

***

5.
The following is a PBEsol calculation of a relaxed KSrPt2 crystal, from Alexandria.

abc: 4.958 4.958 4.961
angles: 119.98 119.98 90.00
Fractional positions:
K: 0.250 0.750 0.500
Pt: 0.000 0.000 0.000
Pt: 0.750 0.250 0.500
Sr: 0.500 0.500 0.000

Output
- total DFT energy (no corrections) (eV/atom) = -4.25
- crystal system = cubic
- DOS(E_F) (states/eV/cell) = 2.1
- formation enthalpy at 0 K (eV/atom) = -0.0227

***

6.
The following is a PBEsol calculation of a relaxed KSrPt4 crystal, from Alexandria.

abc: 5.451 5.451 5.451
angles: 60.00 60.00 60.00
Fractional positions:
Sr: 0.750 0.750 0.750
K: 0.000 0.000 0.000
Pt: 0.875 0.375 0.375
Pt: 0.375 0.375 0.375
Pt: 0.375 0.375 0.875
Pt: 0.375 0.875 0.375

Output
- total DFT energy (no corrections) (eV/atom) = -5.68
- crystal system = cubic
- DOS(E_F) (states/eV/cell) = 1.4
- formation enthalpy at 0 K (eV/atom) = -0.5393

***

7.
The following is a PBEsol calculation of a relaxed KSrPt2 crystal, from Alexandria.

abc: 4.369 4.369 8.695
angles: 75.45 75.45 60.00
Fractional positions:
K: 0.288 0.288 0.135
Pt: 0.046 0.046 0.862
Pt: 0.713 0.713 0.862
Sr: 0.453 0.453 0.641

Output
- total DFT energy (no corrections) (eV/atom) = -4.60
- crystal system = trigonal
- DOS(E_F) (states/eV/cell) = 1.2
- formation enthalpy at 0 K (eV/atom) = -0.3704

***

8.
The following is a PBEsol calculation of a relaxed K2TaPt crystal, from Alexandria.

abc: 3.176 4.144 10.499
angles: 101.38 98.70 90.00
Fractional positions:
K: 0.855 0.855 0.709
K: 0.145 0.145 0.291
Pt: 0.500 0.000 0.000
Ta: 0.000 0.500 0.000

Output
- total DFT energy (no corrections) (eV/atom) = -5.10
- crystal system = orthorhombic
- DOS(E_F) (states/eV/cell) = 3.1
- formation enthalpy at 0 K (eV/atom) = 0.3424

***

9.
The following is a PBEsol calculation of a relaxed KTa2Pt crystal, from Alexandria.

abc: 2.793 2.793 10.606
angles: 90.00 90.00 90.00
Fractional positions:
K: 0.500 0.500 0.000
Pt: 0.500 0.500 0.500
Ta: 0.000 0.000 0.690
Ta: 0.000 0.000 0.310

Output
- total DFT energy (no corrections) (eV/atom) = -7.83
- crystal system = tetragonal
- DOS(E_F) (states/eV/cell) = 3.2
- formation enthalpy at 0 K (eV/atom) = 0.4660

***

10.
The following is a PBEsol calculation of a relaxed KTaPt4 crystal, from Alexandria.

abc: 5.277 5.277 5.277
angles: 60.00 60.00 60.00
Fractional positions:
K: 0.000 0.000 0.000
Pt: 0.375 0.375 0.375
Pt: 0.375 0.375 0.875
Pt: 0.875 0.375 0.375
Pt: 0.375 0.875 0.375
Ta: 0.750 0.750 0.750

Output
- total DFT energy (no corrections) (eV/atom) = -6.83
- crystal system = cubic
- DOS(E_F) (states/eV/cell) = 3.0
- formation enthalpy at 0 K (eV/atom) = 0.0915

***

11.
The following is a PBEsol calculation of a relaxed K2TaPt crystal, from Alexandria.

abc: 2.822 2.822 11.478
angles: 90.00 90.00 90.00
Fractional positions:
K: 0.000 0.000 0.784
K: 0.000 0.000 0.216
Pt: 0.500 0.500 0.000
Ta: 0.500 0.500 0.500

Output
- total DFT energy (no corrections) (eV/atom) = -4.55
- crystal system = tetragonal
- DOS(E_F) (states/eV/cell) = 3.3
- formation enthalpy at 0 K (eV/atom) = 0.8960

***

12.
The following is a PBEsol calculation of a relaxed KTaPt2 crystal, from Alexandria.

abc: 2.761 5.104 5.104
angles: 90.00 90.00 90.00
Fractional positions:
K: 0.500 0.000 0.000
Pt: 0.000 0.000 0.500
Pt: 0.000 0.500 0.000
Ta: 0.500 0.500 0.500

Output
- total DFT energy (no corrections) (eV/atom) = -6.79
- crystal system = tetragonal
- DOS(E_F) (states/eV/cell) = 2.1
- formation enthalpy at 0 K (eV/atom) = 0.1165

***

13.
The following is a PBEsol calculation of a relaxed KTa3Pt crystal, from Alexandria.

abc: 4.972 4.972 4.972
angles: 90.00 90.00 90.00
Fractional positions:
K: 0.500 0.500 0.500
Pt: 0.000 0.000 0.000
Ta: 0.000 0.500 0.000
Ta: 0.000 0.000 0.500
Ta: 0.500 0.000 0.000

Output
- total DFT energy (no corrections) (eV/atom) = -7.67
- crystal system = cubic
- DOS(E_F) (states/eV/cell) = 4.8
- formation enthalpy at 0 K (eV/atom) = 1.4775

***

14.
The following is a PBEsol calculation of a relaxed K2TaPt crystal, from Alexandria.

abc: 3.436 4.287 5.912
angles: 90.00 90.00 90.00
Fractional positions:
K: 0.000 0.000 0.000
K: 0.500 0.500 0.000
Pt: 0.500 0.000 0.500
Ta: 0.000 0.500 0.500

Output
- total DFT energy (no corrections) (eV/atom) = -4.68
- crystal system = orthorhombic
- DOS(E_F) (states/eV/cell) = 3.5
- formation enthalpy at 0 K (eV/atom) = 0.7646

***

15.
The following is a PBEsol calculation of a relaxed KTa2Pt crystal, from Alexandria.

abc: 2.864 3.983 8.336
angles: 90.00 91.11 90.00
Fractional positions:
K: 0.500 0.500 0.000
Pt: 0.500 0.500 0.500
Ta: 0.971 0.000 0.652
Ta: 0.029 0.000 0.348

Output
- total DFT energy (no corrections) (eV/atom) = -7.76
- crystal system = monoclinic
- DOS(E_F) (states/eV/cell) = 5.3
- formation enthalpy at 0 K (eV/atom) = 0.5357

***

16.
The following is a PBEsol calculation of a relaxed KTa2TlPt crystal, from Alexandria.

abc: 5.024 5.024 5.279
angles: 90.00 90.00 90.00
Fractional positions:
Tl: 0.000 0.000 0.500
K: 0.500 0.500 0.500
Pt: 0.000 0.000 0.000
Ta: 0.000 0.500 0.000
Ta: 0.500 0.000 0.000

Output
- total DFT energy (no corrections) (eV/atom) = -5.92
- crystal system = tetragonal
- DOS(E_F) (states/eV/cell) = 6.1
- formation enthalpy at 0 K (eV/atom) = 1.2416

***

17.
The following is a PBEsol calculation of a relaxed KTc2Pt crystal, from Alexandria.

abc: 2.701 4.397 7.056
angles: 90.00 90.00 90.00
Fractional positions:
K: 0.500 0.500 0.000
Pt: 0.500 0.500 0.500
Tc: 0.000 0.000 0.649
Tc: 0.000 0.000 0.351

Output
- total DFT energy (no corrections) (eV/atom) = -6.95
- crystal system = orthorhombic
- DOS(E_F) (states/eV/cell) = 2.1
- formation enthalpy at 0 K (eV/atom) = 0.7042

***

18.
The following is a PBEsol calculation of a relaxed KTc2Pt crystal, from Alexandria.

abc: 2.682 3.773 7.810
angles: 90.00 90.00 90.00
Fractional positions:
K: 0.000 0.000 0.513
Pt: 0.500 0.500 0.823
Tc: 0.000 0.000 0.008
Tc: 0.500 0.500 0.156

Output
- total DFT energy (no corrections) (eV/atom) = -7.11
- crystal system = orthorhombic
- DOS(E_F) (states/eV/cell) = 4.5
- formation enthalpy at 0 K (eV/atom) = 0.5524

***

19.
The following is a PBEsol calculation of a relaxed KTc2Pt crystal, from Alexandria.

abc: 2.703 4.826 5.062
angles: 90.00 90.00 90.00
Fractional positions:
K: 0.500 0.000 0.500
Pt: 0.000 0.500 0.500
Tc: 0.000 0.000 0.000
Tc: 0.500 0.500 0.000

Output
- total DFT energy (no corrections) (eV/atom) = -6.54
- crystal system = orthorhombic
- DOS(E_F) (states/eV/cell) = 5.1
- formation enthalpy at 0 K (eV/atom) = 1.1200

***

20.
The following is a PBEsol calculation of a relaxed KTcPt crystal, from Alexandria.

abc: 2.616 4.875 4.875
angles: 120.00 90.00 90.00
Fractional positions:
K: 0.500 0.000 0.000
Pt: 0.000 0.333 0.667
Tc: 0.000 0.667 0.333

Output
- total DFT energy (no corrections) (eV/atom) = -5.38
- crystal system = hexagonal
- DOS(E_F) (states/eV/cell) = 3.4
- formation enthalpy at 0 K (eV/atom) = 1.0731

***

21.
The following is a PBEsol calculation of a relaxed KTc2Pt crystal, from Alexandria.

abc: 2.717 2.717 10.137
angles: 90.00 90.00 116.29
Fractional positions:
K: 0.000 0.000 0.494
Pt: 0.500 0.500 0.225
Tc: 0.000 0.000 0.992
Tc: 0.500 0.500 0.788

Output
- total DFT energy (no corrections) (eV/atom) = -7.09
- crystal system = orthorhombic
- DOS(E_F) (states/eV/cell) = 2.7
- formation enthalpy at 0 K (eV/atom) = 0.5632

***

22.
The following is a PBEsol calculation of a relaxed KTc2Pt2 crystal, from Alexandria.

abc: 4.512 4.512 5.734
angles: 113.17 113.17 90.00
Fractional positions:
K: 0.000 0.000 0.000
Tc: 0.388 0.388 0.776
Tc: 0.612 0.612 0.224
Pt: 0.250 0.750 0.500
Pt: 0.750 0.250 0.500

Output
- total DFT energy (no corrections) (eV/atom) = -6.92
- crystal system = tetragonal
- DOS(E_F) (states/eV/cell) = 6.3
- formation enthalpy at 0 K (eV/atom) = 0.5948

***

23.
The following is a PBEsol calculation of a relaxed KTcPt crystal, from Alexandria.

abc: 2.791 2.791 7.980
angles: 90.00 90.00 120.00
Fractional positions:
K: 0.000 0.000 0.992
Pt: 0.333 0.667 0.638
Tc: 0.667 0.333 0.370

Output
- total DFT energy (no corrections) (eV/atom) = -5.72
- crystal system = trigonal
- DOS(E_F) (states/eV/cell) = 4.5
- formation enthalpy at 0 K (eV/atom) = 0.7336

***

24.
The following is a PBEsol calculation of a relaxed KTe2Pt crystal, from Alexandria.

abc: 4.098 5.376 6.086
angles: 108.29 90.00 90.00
Fractional positions:
K: 0.500 0.000 0.500
Pt: 0.500 0.500 0.000
Te: 0.000 0.397 0.223
Te: 0.000 0.603 0.777

Output
- total DFT energy (no corrections) (eV/atom) = -4.27
- formation energy without anion corrections (eV per atom) = -0.4850
- crystal system = monoclinic
- DOS(E_F) (states/eV/cell) = 1.7

***

25.
The following is a PBEsol calculation of a relaxed K2TePt crystal, from Alexandria.

abc: 3.391 3.391 10.718
angles: 80.90 80.90 60.00
Fractional positions:
K: 0.243 0.243 0.272
K: 0.757 0.757 0.728
Pt: 0.500 0.500 0.500
Te: 0.000 0.000 0.000

Output
- total DFT energy (no corrections) (eV/atom) = -3.10
- formation energy without anion corrections (eV per atom) = 0.0867
- crystal system = trigonal
- DOS(E_F) (states/eV/cell) = 1.5

***

26.
The following is a PBEsol calculation of a relaxed KTe2Pt crystal, from Alexandria.

abc: 5.178 5.178 5.178
angles: 60.00 60.00 60.00
Fractional positions:
K: 0.500 0.500 0.500
Pt: 0.250 0.250 0.250
Te: 0.000 0.000 0.000
Te: 0.750 0.750 0.750

Output
- total DFT energy (no corrections) (eV/atom) = -3.50
- formation energy without anion corrections (eV per atom) = 0.2916
- crystal system = cubic
- DOS(E_F) (states/eV/cell) = 4.0

***

27.
The following is a PBEsol calculation of a relaxed KTe2Pt crystal, from Alexandria.

abc: 3.383 3.383 10.693
angles: 80.90 80.90 60.00
Fractional positions:
K: 0.500 0.500 0.500
Te: 0.920 0.920 0.239
Te: 0.080 0.080 0.761
Pt: 0.000 0.000 0.000

Output
- total DFT energy (no corrections) (eV/atom) = -3.66
- formation energy without anion corrections (eV per atom) = 0.1288
- crystal system = trigonal
- DOS(E_F) (states/eV/cell) = 3.3

***

28.
The following is a PBEsol calculation of a relaxed KTe2Pt crystal, from Alexandria.

abc: 3.578 3.578 9.301
angles: 90.00 90.00 90.00
Fractional positions:
K: 0.000 0.000 0.479
Pt: 0.500 0.500 0.943
Te: 0.000 0.000 0.847
Te: 0.500 0.500 0.231

Output
- total DFT energy (no corrections) (eV/atom) = -4.02
- formation energy without anion corrections (eV per atom) = -0.2325
- crystal system = tetragonal
- DOS(E_F) (states/eV/cell) = 1.9

***

29.
The following is a PBEsol calculation of a relaxed K2Te2Pt crystal, from Alexandria.

abc: 3.965 6.732 6.732
angles: 70.41 72.87 72.87
Fractional positions:
K: 0.207 0.293 0.293
K: 0.793 0.707 0.707
Te: 0.500 0.776 0.224
Te: 0.500 0.224 0.776
Pt: 0.000 0.000 0.000

Output
- total DFT energy (no corrections) (eV/atom) = -4.03
- formation energy without anion corrections (eV per atom) = -0.7753
- crystal system = orthorhombic

***

30.
The following is a PBEsol calculation of a relaxed K2TePt crystal, from Alexandria.

abc: 4.550 4.550 9.526
angles: 76.18 76.18 60.00
Fractional positions:
K: 0.955 0.955 0.135
K: 0.795 0.795 0.615
Pt: 0.542 0.542 0.375
Te: 0.208 0.208 0.375

Output
- total DFT energy (no corrections) (eV/atom) = -3.67
- formation energy without anion corrections (eV per atom) = -0.4836
- crystal system = trigonal
- DOS(E_F) (states/eV/cell) = 1.4

***

| no. | spin magnetization (μB/f.u.) |
| --- | --- |
| 1 | 0.00 |
| 2 | 0.00 |
| 3 | 0.00 |
| 4 | 0.00 |
| 5 | 0.00 |
| 6 | 0.00 |
| 7 | 0.00 |
| 8 | 0.69 |
| 9 | 0.00 |
| 10 | 0.00 |
| 11 | 0.29 |
| 12 | 0.00 |
| 13 | 0.00 |
| 14 | 0.00 |
| 15 | 0.00 |
| 16 | 2.05 |
| 17 | 0.00 |
| 18 | 0.00 |
| 19 | 0.08 |
| 20 | 0.00 |
| 21 | 0.00 |
| 22 | 0.00 |
| 23 | 0.00 |
| 24 | 0.00 |
| 25 | 0.00 |
| 26 | 0.00 |
| 27 | 0.00 |
| 28 | 0.00 |
| 29 | 0.00 |
| 30 | 0.00 |